# Rb2CaTlBr PBE-GGA optimized geometry
# Uncorrected energy in eV per atom: -1.880
# Total magnetic moment in μB per formula unit: 0.00
# Formation energy without anion corrections in eV/f.u.: -1.42
data_Rb2CaTlBr
_chemical_formula_sum 'Rb2 Ca1 Tl1 Br1'
_space_group_name_H-M_alt 'P 4/m m m'
_space_group_IT_number 123
_space_group_name_Hall '-P 4 2'
_cell_length_a 6.8957
_cell_length_b 6.8957
_cell_length_c 6.1034
_cell_angle_alpha 90.00
_cell_angle_beta 90.00
_cell_angle_gamma 90.00
loop_
_atom_site_label
_atom_site_fract_x
_atom_site_fract_y
_atom_site_fract_z
Rb1 0.0000 0.5000 0.0000
Ca1 0.0000 0.0000 0.5000
Tl1 0.0000 0.0000 0.0000
Br1 0.5000 0.5000 0.5000